Record 1
{"formula": "ScTiReIr", "functional": "PBE", "state": "relaxed", "n_ef_per_ev_cell": 11.21, "delta_e_f_ev_per_atom": -0.57, "magmom_total_mub_per_cell": 0.000, "lattice_angstrom": [[6.329, 0.000, 0.000], [0.000, 6.329, 0.000], [0.000, 0.000, 6.329]], "species": ["Sc", "Sc", "Sc", "Sc", "Ti", "Ti", "Ti", "Ti", "Re", "Re", "Re", "Re", "Ir", "Ir", "Ir", "Ir"], "frac_coords": [[0.000, 0.000, 0.000], [0.000, 0.500, 0.500], [0.500, 0.000, 0.500], [0.500, 0.500, 0.000], [0.000, 0.000, 0.500], [0.000, 0.500, 0.000], [0.500, 0.000, 0.000], [0.500, 0.500, 0.500], [0.250, 0.250, 0.750], [0.250, 0.750, 0.250], [0.750, 0.250, 0.250], [0.750, 0.750, 0.750], [0.250, 0.250, 0.250], [0.250, 0.750, 0.750], [0.750, 0.250, 0.750], [0.750, 0.750, 0.250]]}

=====

Record 2
{"formula": "AgIrW2", "functional": "PBE", "state": "relaxed", "relative_energy_mev_per_atom": 15.9, "n_ef_per_ev_cell": 8.16, "delta_e_f_ev_per_atom": 0.25, "magmom_total_mub_per_cell": 0.000, "lattice_angstrom": [[2.808, 0.000, 0.000], [-1.404, 2.432, 0.000], [0.000, 0.000, 28.484]], "species": ["Ag", "Ag", "Ag", "Ir", "Ir", "Ir", "W", "W", "W", "W", "W", "W"], "frac_coords": [[0.000, 0.000, 0.000], [0.333, 0.667, 0.667], [0.667, 0.333, 0.333], [0.000, 0.000, 0.753], [0.333, 0.667, 0.420], [0.667, 0.333, 0.087], [0.000, 0.000, 0.247], [0.000, 0.000, 0.494], [0.333, 0.667, 0.161], [0.333, 0.667, 0.913], [0.667, 0.333, 0.580], [0.667, 0.333, 0.827]]}

=====

Record 3
{"formula": "K2CuP", "functional": "PBE", "state": "relaxed", "n_ef_per_ev_cell": 2.55, "delta_e_f_ev_per_atom": 0.18, "magmom_total_mub_per_cell": 0.000, "lattice_angstrom": [[7.178, 0.000, 0.000], [0.000, 7.178, 0.000], [0.000, 0.000, 7.178]], "species": ["K", "K", "K", "K", "K", "K", "K", "K", "Cu", "Cu", "Cu", "Cu", "P", "P", "P", "P"], "frac_coords": [[0.000, 0.000, 0.000], [0.000, 0.500, 0.500], [0.250, 0.250, 0.250], [0.250, 0.750, 0.750], [0.500, 0.000, 0.500], [0.500, 0.500, 0.000], [0.750, 0.250, 0.750], [0.750, 0.750, 0.250], [0.000, 0.000, 0.500], [0.000, 0.500, 0.000], [0.500, 0.000, 0.000], [0.500, 0.500, 0.500], [0.250, 0.250, 0.750], [0.250, 0.750, 0.250], [0.750, 0.250, 0.250], [0.750, 0.750, 0.750]]}

=====

Record 4
{"formula": "SrYb3", "functional": "PBE", "state": "relaxed", "n_ef_per_ev_cell": 187.74, "delta_e_f_ev_per_atom": -0.05, "magmom_total_mub_per_cell": 2.146, "lattice_angstrom": [[8.595, 0.000, 0.000], [0.000, 8.595, 0.000], [0.000, 0.000, 8.595]], "species": ["Sr", "Sr", "Sr", "Sr", "Yb", "Yb", "Yb", "Yb", "Yb", "Yb", "Yb", "Yb", "Yb", "Yb", "Yb", "Yb"], "frac_coords": [[0.000, 0.000, 0.000], [0.000, 0.500, 0.500], [0.500, 0.000, 0.500], [0.500, 0.500, 0.000], [0.000, 0.000, 0.500], [0.000, 0.500, 0.000], [0.250, 0.250, 0.250], [0.250, 0.250, 0.750], [0.250, 0.750, 0.250], [0.250, 0.750, 0.750], [0.500, 0.000, 0.000], [0.500, 0.500, 0.500], [0.750, 0.250, 0.250], [0.750, 0.250, 0.750], [0.750, 0.750, 0.250], [0.750, 0.750, 0.750]]}

=====

Record 5
{"formula": "ZrZn3F6", "functional": "PBE", "state": "relaxed", "n_ef_per_ev_cell": 1.84, "magmom_total_mub_per_cell": 0.242, "e_form_raw_ev_per_fu": -23.1, "lattice_angstrom": [[5.140, 0.000, 0.000], [1.174, 5.194, 0.000], [2.517, -0.120, 8.063]], "species": ["Zr", "Zn", "Zn", "Zn", "F", "F", "F", "F", "F", "F"], "frac_coords": [[0.000, 0.000, 0.000], [0.000, 0.000, 0.500], [0.500, 0.000, 0.500], [0.500, 0.500, 0.000], [0.167, 0.755, 0.162], [0.253, 0.246, 0.000], [0.328, 0.748, 0.838], [0.672, 0.252, 0.162], [0.747, 0.754, 0.000], [0.833, 0.245, 0.838]]}

=====

Record 6
{"formula": "Hf2Ti3Ge4", "functional": "PBE", "state": "relaxed", "relative_energy_mev_per_atom": 272.7, "n_ef_per_ev_cell": 13.25, "delta_e_f_ev_per_atom": -0.49, "magmom_total_mub_per_cell": 0.000, "lattice_angstrom": [[2.827, -7.262, 0.000], [2.827, 7.262, 0.000], [0.000, 0.000, 7.745]], "species": ["Hf", "Hf", "Hf", "Hf", "Ti", "Ti", "Ti", "Ti", "Ti", "Ti", "Ge", "Ge", "Ge", "Ge", "Ge", "Ge", "Ge", "Ge"], "frac_coords": [[0.122, 0.878, 0.908], [0.378, 0.622, 0.408], [0.622, 0.378, 0.592], [0.878, 0.122, 0.092], [0.000, 0.000, 0.500], [0.050, 0.450, 0.750], [0.450, 0.050, 0.250], [0.500, 0.500, 0.000], [0.550, 0.950, 0.750], [0.950, 0.550, 0.250], [0.188, 0.812, 0.553], [0.224, 0.276, 0.750], [0.276, 0.224, 0.250], [0.312, 0.688, 0.053], [0.688, 0.312, 0.947], [0.724, 0.776, 0.750], [0.776, 0.724, 0.250], [0.812, 0.188, 0.447]]}

=====

Record 7
{"formula": "Ca2HgPdC", "functional": "PBE", "state": "relaxed", "n_ef_per_ev_cell": 2.47, "delta_e_f_ev_per_atom": -0.24, "magmom_total_mub_per_cell": 0.000, "lattice_angstrom": [[5.199, 0.000, 0.000], [0.000, 5.199, 0.000], [0.000, 0.000, 3.955]], "species": ["Ca", "Ca", "Hg", "Pd", "C"], "frac_coords": [[0.000, 0.500, 0.000], [0.500, 0.000, 0.000], [0.000, 0.000, 0.500], [0.500, 0.500, 0.500], [0.500, 0.500, 0.000]]}

=====

Record 8
{"formula": "Hf4Hg2N", "functional": "PBE", "state": "relaxed", "relative_energy_mev_per_atom": 0.0, "n_ef_per_ev_cell": 6.12, "magmom_total_mub_per_cell": 0.000, "e_form_raw_ev_per_fu": -3.5, "lattice_angstrom": [[7.668, 0.000, 0.000], [0.000, 10.919, 0.000], [0.000, 0.000, 3.290]], "species": ["Hf", "Hf", "Hf", "Hf", "Hf", "Hf", "Hf", "Hf", "Hg", "Hg", "Hg", "Hg", "N", "N"], "frac_coords": [[0.129, 0.183, 0.000], [0.174, 0.935, 0.500], [0.326, 0.435, 0.500], [0.371, 0.683, 0.000], [0.629, 0.317, 0.000], [0.674, 0.565, 0.500], [0.826, 0.065, 0.500], [0.871, 0.817, 0.000], [0.055, 0.635, 0.500], [0.445, 0.135, 0.500], [0.555, 0.865, 0.500], [0.945, 0.365, 0.500], [0.000, 0.000, 0.000], [0.500, 0.500, 0.000]]}

=====

Record 9
{"formula": "Ca5AcMg4", "functional": "PBE", "state": "relaxed", "n_ef_per_ev_cell": 14.49, "delta_e_f_ev_per_atom": -0.04, "magmom_total_mub_per_cell": 0.000, "lattice_angstrom": [[3.935, 0.000, 0.000], [0.000, 3.935, 0.000], [0.000, 0.000, 21.757]], "species": ["Ca", "Ca", "Ca", "Ca", "Ca", "Ac", "Mg", "Mg", "Mg", "Mg"], "frac_coords": [[0.000, 0.000, 0.000], [0.000, 0.000, 0.185], [0.000, 0.000, 0.370], [0.000, 0.000, 0.630], [0.000, 0.000, 0.815], [0.500, 0.500, 0.500], [0.500, 0.500, 0.092], [0.500, 0.500, 0.277], [0.500, 0.500, 0.723], [0.500, 0.500, 0.908]]}